! SrZn3, relaxed, DFT GGA-PBE; values from VASP
! * space-group type: No. 194
! * energy: -1.544 eV/atom
&SYSTEM
  ibrav = 0, nat = 8, ntyp = 2
/
ATOMIC_SPECIES
Sr 87.62 Sr.upf
Zn 65.41 Zn.upf
CELL_PARAMETERS angstrom
6.8449 0.0000 0.0000
-3.4225 5.9279 0.0000
0.0000 0.0000 4.4326
ATOMIC_POSITIONS crystal
Sr 0.3333 0.6667 0.2500
Sr 0.6667 0.3333 0.7500
Zn 0.1334 0.2668 0.7500
Zn 0.1334 0.8666 0.7500
Zn 0.2668 0.1334 0.2500
Zn 0.7332 0.8666 0.7500
Zn 0.8666 0.1334 0.2500
Zn 0.8666 0.7332 0.2500


! SrZn2, relaxed, DFT GGA-PBE; values from VASP
! * space-group type: No. 227
! * energy: -1.576 eV/atom
&SYSTEM
  ibrav = 0, nat = 6, ntyp = 2
/
ATOMIC_SPECIES
Sr 87.62 Sr.upf
Zn 65.41 Zn.upf
CELL_PARAMETERS angstrom
0.0000 4.0620 4.0620
4.0620 0.0000 4.0620
4.0620 4.0620 0.0000
ATOMIC_POSITIONS crystal
Sr 0.1250 0.1250 0.1250
Sr 0.8750 0.8750 0.8750
Zn 0.0000 0.5000 0.5000
Zn 0.5000 0.0000 0.5000
Zn 0.5000 0.5000 0.0000
Zn 0.5000 0.5000 0.5000


! SrZr3, relaxed, DFT GGA-PBE; values from VASP
! * total moment: 0.02 μB/atom
! * space-group type: No. 194
! * energy: -6.399 eV/atom
&SYSTEM
  ibrav = 0, nat = 8, ntyp = 2
/
ATOMIC_SPECIES
Sr 87.62 Sr.upf
Zr 91.22 Zr.upf
CELL_PARAMETERS angstrom
6.8281 0.0000 0.0000
-3.4141 5.9133 0.0000
0.0000 0.0000 5.3633
ATOMIC_POSITIONS crystal
Sr 0.3333 0.6667 0.2500
Sr 0.6667 0.3333 0.7500
Zr 0.1540 0.3080 0.7500
Zr 0.1540 0.8460 0.7500
Zr 0.3080 0.1540 0.2500
Zr 0.6920 0.8460 0.7500
Zr 0.8460 0.1540 0.2500
Zr 0.8460 0.6920 0.2500


! SrZr2, relaxed, DFT GGA-PBE; values from VASP
! * total moment: 0.00 μB/atom
! * space-group type: No. 63
! * offset from the most stable computed form: 0.19 eV/f.u.
&SYSTEM
  ibrav = 0, nat = 6, ntyp = 2
/
ATOMIC_SPECIES
Sr 87.62 Sr.upf
Zr 91.22 Zr.upf
CELL_PARAMETERS angstrom
5.9549 -2.8884 0.0000
5.9549 2.8884 0.0000
0.0000 0.0000 5.1929
ATOMIC_POSITIONS crystal
Sr 0.2054 0.7946 0.7500
Sr 0.7946 0.2054 0.2500
Zr 0.1546 0.4425 0.2500
Zr 0.4425 0.1546 0.7500
Zr 0.5575 0.8454 0.2500
Zr 0.8454 0.5575 0.7500


! SrZr, relaxed, DFT GGA-PBE; values from VASP
! * total moment: 0.03 μB/atom
! * space-group type: No. 59
! * offset from the most stable computed form: 0.43 eV/f.u.
&SYSTEM
  ibrav = 0, nat = 16, ntyp = 2
/
ATOMIC_SPECIES
Sr 87.62 Sr.upf
Zr 91.22 Zr.upf
CELL_PARAMETERS angstrom
5.8590 0.0000 0.0000
0.0000 7.2553 0.0000
0.0000 0.0000 12.4831
ATOMIC_POSITIONS crystal
Sr 0.2500 0.0012 0.0915
Sr 0.2500 0.2500 0.3587
Sr 0.2500 0.2500 0.7912
Sr 0.2500 0.4988 0.0915
Sr 0.7500 0.5012 0.9085
Sr 0.7500 0.7500 0.2088
Sr 0.7500 0.7500 0.6413
Sr 0.7500 0.9988 0.9085
Zr 0.2500 0.5335 0.5759
Zr 0.2500 0.7500 0.3789
Zr 0.2500 0.7500 0.7891
Zr 0.2500 0.9665 0.5759
Zr 0.7500 0.0335 0.4241
Zr 0.7500 0.2500 0.2109
Zr 0.7500 0.2500 0.6211
Zr 0.7500 0.4665 0.4241


! SrZr2, relaxed, DFT GGA-PBE; values from VASP
! * total moment: 0.00 μB/atom
! * space-group type: No. 59
! * offset from the most stable computed form: 0.34 eV/f.u.
&SYSTEM
  ibrav = 0, nat = 12, ntyp = 2
/
ATOMIC_SPECIES
Sr 87.62 Sr.upf
Zr 91.22 Zr.upf
CELL_PARAMETERS angstrom
5.2290 0.0000 0.0000
0.0000 10.1197 0.0000
0.0000 0.0000 6.5821
ATOMIC_POSITIONS crystal
Sr 0.2500 0.0870 0.1086
Sr 0.2500 0.4130 0.1086
Sr 0.7500 0.5870 0.8914
Sr 0.7500 0.9130 0.8914
Zr 0.2500 0.2500 0.6038
Zr 0.2500 0.5953 0.5592
Zr 0.2500 0.7500 0.1707
Zr 0.2500 0.9047 0.5592
Zr 0.7500 0.0953 0.4408
Zr 0.7500 0.2500 0.8293
Zr 0.7500 0.4047 0.4408
Zr 0.7500 0.7500 0.3962


! SrZr2, relaxed, DFT GGA-PBE; values from VASP
! * total moment: 0.00 μB/atom
! * space-group type: No. 139
! * offset from the most stable computed form: 0.00 eV/f.u.
&SYSTEM
  ibrav = 0, nat = 3, ntyp = 2
/
ATOMIC_SPECIES
Sr 87.62 Sr.upf
Zr 91.22 Zr.upf
CELL_PARAMETERS angstrom
-1.6450 1.6450 8.2070
1.6450 -1.6450 8.2070
1.6450 1.6450 -8.2070
ATOMIC_POSITIONS crystal
Sr 0.0000 0.0000 0.0000
Zr 0.3119 0.3119 0.0000
Zr 0.6881 0.6881 0.0000


! SrZr, relaxed, DFT GGA-PBE; values from VASP
! * total moment: 0.09 μB/atom
! * space-group type: No. 187
! * offset from the most stable computed form: 0.41 eV/f.u.
&SYSTEM
  ibrav = 0, nat = 8, ntyp = 2
/
ATOMIC_SPECIES
Sr 87.62 Sr.upf
Zr 91.22 Zr.upf
CELL_PARAMETERS angstrom
7.6809 0.0000 0.0000
-3.8405 6.6519 0.0000
0.0000 0.0000 5.3677
ATOMIC_POSITIONS crystal
Sr 0.0000 0.0000 0.0000
Sr 0.3461 0.1731 0.5000
Sr 0.8269 0.1731 0.5000
Sr 0.8269 0.6539 0.5000
Zr 0.0799 0.5400 0.0000
Zr 0.3333 0.6667 0.5000
Zr 0.4600 0.5400 0.0000
Zr 0.4600 0.9201 0.0000


! SrZr, relaxed, DFT GGA-PBE; values from VASP
! * total moment: 0.00 μB/atom
! * space-group type: No. 59
! * offset from the most stable computed form: 0.47 eV/f.u.
&SYSTEM
  ibrav = 0, nat = 4, ntyp = 2
/
ATOMIC_SPECIES
Sr 87.62 Sr.upf
Zr 91.22 Zr.upf
CELL_PARAMETERS angstrom
3.3773 0.0000 0.0000
0.0000 5.0920 0.0000
0.0000 0.0000 7.4985
ATOMIC_POSITIONS crystal
Sr 0.2500 0.2500 0.1459
Sr 0.7500 0.7500 0.8541
Zr 0.2500 0.7500 0.4361
Zr 0.7500 0.2500 0.5639


! SrZr, relaxed, DFT GGA-PBE; values from VASP
! * total moment: 0.35 μB/atom
! * space-group type: No. 38
! * offset from the most stable computed form: 0.32 eV/f.u.
&SYSTEM
  ibrav = 0, nat = 10, ntyp = 2
/
ATOMIC_SPECIES
Sr 87.62 Sr.upf
Zr 91.22 Zr.upf
CELL_PARAMETERS angstrom
5.2769 0.0000 0.0000
0.0000 11.5752 2.8269
0.0000 -11.5752 2.8269
ATOMIC_POSITIONS crystal
Sr 0.0000 0.0000 0.0000
Sr 0.0000 0.3780 0.6155
Sr 0.0000 0.6155 0.3780
Sr 0.5000 0.1497 0.9091
Sr 0.5000 0.9091 0.1497
Zr 0.0000 0.1527 0.7036
Zr 0.0000 0.7036 0.1527
Zr 0.5000 0.3695 0.8179
Zr 0.5000 0.5095 0.5095
Zr 0.5000 0.8179 0.3695


! SrZr, relaxed, DFT GGA-PBE; values from VASP
! * total moment: 0.12 μB/atom
! * space-group type: No. 26
! * offset from the most stable computed form: 0.39 eV/f.u.
&SYSTEM
  ibrav = 0, nat = 12, ntyp = 2
/
ATOMIC_SPECIES
Sr 87.62 Sr.upf
Zr 91.22 Zr.upf
CELL_PARAMETERS angstrom
5.5818 0.0000 0.0000
0.0000 13.1081 0.0000
0.0000 0.0000 5.4728
ATOMIC_POSITIONS crystal
Sr 0.0000 0.0885 0.0000
Sr 0.0000 0.2817 0.5009
Sr 0.0000 0.7183 0.0009
Sr 0.0000 0.9115 0.5000
Sr 0.5000 0.2705 0.9581
Sr 0.5000 0.7295 0.4581
Zr 0.0000 0.4541 0.0472
Zr 0.0000 0.5459 0.5472
Zr 0.5000 0.0526 0.4785
Zr 0.5000 0.4578 0.3962
Zr 0.5000 0.5422 0.8962
Zr 0.5000 0.9474 0.9785


! Sr2Zr, relaxed, DFT GGA-PBE; values from VASP
! * total moment: 2.01 μB/atom
! * space-group type: No. 227
! * offset from the most stable computed form: 2.56 eV/f.u.
&SYSTEM
  ibrav = 0, nat = 6, ntyp = 2
/
ATOMIC_SPECIES
Sr 87.62 Sr.upf
Zr 91.22 Zr.upf
CELL_PARAMETERS angstrom
0.0000 7.2296 7.2296
7.2296 0.0000 7.2296
7.2296 7.2296 0.0000
ATOMIC_POSITIONS crystal
Sr 0.0000 0.0000 0.0000
Sr 0.0000 0.0000 0.5000
Sr 0.0000 0.5000 0.0000
Sr 0.5000 0.0000 0.0000
Zr 0.1250 0.1250 0.1250
Zr 0.8750 0.8750 0.8750


! SrZr, relaxed, DFT GGA-PBE; values from VASP
! * total moment: 0.01 μB/atom
! * space-group type: No. 11
! * offset from the most stable computed form: 0.16 eV/f.u.
&SYSTEM
  ibrav = 0, nat = 12, ntyp = 2
/
ATOMIC_SPECIES
Sr 87.62 Sr.upf
Zr 91.22 Zr.upf
CELL_PARAMETERS angstrom
8.1366 0.0000 0.0000
0.0000 5.2574 0.0000
-0.8462 0.0000 10.0518
ATOMIC_POSITIONS crystal
Sr 0.0685 0.2500 0.1867
Sr 0.1477 0.2500 0.6269
Sr 0.3722 0.7500 0.3866
Sr 0.6278 0.2500 0.6134
Sr 0.8523 0.7500 0.3731
Sr 0.9315 0.7500 0.8133
Zr 0.2643 0.7500 0.0392
Zr 0.3775 0.2500 0.9348
Zr 0.4431 0.7500 0.7964
Zr 0.5569 0.2500 0.2036
Zr 0.6225 0.7500 0.0652
Zr 0.7357 0.2500 0.9608


! SrZr2, relaxed, DFT GGA-PBE; values from VASP
! * total moment: 0.01 μB/atom
! * space-group type: No. 189
! * offset from the most stable computed form: 0.47 eV/f.u.
&SYSTEM
  ibrav = 0, nat = 6, ntyp = 2
/
ATOMIC_SPECIES
Sr 87.62 Sr.upf
Zr 91.22 Zr.upf
CELL_PARAMETERS angstrom
6.1383 0.0000 0.0000
-3.0691 5.3159 0.0000
0.0000 0.0000 5.3290
ATOMIC_POSITIONS crystal
Sr 0.3333 0.6667 0.0000
Sr 0.6667 0.3333 0.0000
Zr 0.0000 0.0000 0.0000
Zr 0.0000 0.7193 0.5000
Zr 0.2807 0.2807 0.5000
Zr 0.7193 0.0000 0.5000


! SrZr, relaxed, DFT GGA-PBE; values from VASP
! * total moment: 0.05 μB/atom
! * space-group type: No. 194
! * offset from the most stable computed form: 0.72 eV/f.u.
&SYSTEM
  ibrav = 0, nat = 4, ntyp = 2
/
ATOMIC_SPECIES
Sr 87.62 Sr.upf
Zr 91.22 Zr.upf
CELL_PARAMETERS angstrom
3.4475 0.0000 0.0000
-1.7237 2.9856 0.0000
0.0000 0.0000 11.9025
ATOMIC_POSITIONS crystal
Sr 0.0000 0.0000 0.0000
Sr 0.0000 0.0000 0.5000
Zr 0.3333 0.6667 0.2500
Zr 0.6667 0.3333 0.7500


! SrZr, relaxed, DFT GGA-PBE; values from VASP
! * total moment: 0.15 μB/atom
! * space-group type: No. 38
! * offset from the most stable computed form: 0.26 eV/f.u.
&SYSTEM
  ibrav = 0, nat = 10, ntyp = 2
/
ATOMIC_SPECIES
Sr 87.62 Sr.upf
Zr 91.22 Zr.upf
CELL_PARAMETERS angstrom
5.3620 0.0000 0.0000
0.0000 10.7725 3.0398
0.0000 -10.7725 3.0398
ATOMIC_POSITIONS crystal
Sr 0.0000 0.0000 0.0000
Sr 0.0000 0.2953 0.9341
Sr 0.0000 0.9341 0.2953
Sr 0.5000 0.4762 0.8187
Sr 0.5000 0.8187 0.4762
Zr 0.0000 0.4483 0.5869
Zr 0.0000 0.5869 0.4483
Zr 0.5000 0.1448 0.2836
Zr 0.5000 0.2836 0.1448
Zr 0.5000 0.6758 0.6758


! Sr2Zr, relaxed, DFT GGA-PBE; values from VASP
! * total moment: 0.94 μB/atom
! * space-group type: No. 227
! * offset from the most stable computed form: 0.00 eV/f.u.
&SYSTEM
  ibrav = 0, nat = 6, ntyp = 2
/
ATOMIC_SPECIES
Sr 87.62 Sr.upf
Zr 91.22 Zr.upf
CELL_PARAMETERS angstrom
0.0000 4.8840 4.8840
4.8840 0.0000 4.8840
4.8840 4.8840 0.0000
ATOMIC_POSITIONS crystal
Sr 0.0000 0.0000 0.0000
Sr 0.0000 0.0000 0.5000
Sr 0.0000 0.5000 0.0000
Sr 0.5000 0.0000 0.0000
Zr 0.3750 0.3750 0.3750
Zr 0.6250 0.6250 0.6250


! SrZr, relaxed, DFT GGA-PBE; values from VASP
! * total moment: 0.00 μB/atom
! * space-group type: No. 11
! * offset from the most stable computed form: 0.21 eV/f.u.
&SYSTEM
  ibrav = 0, nat = 12, ntyp = 2
/
ATOMIC_SPECIES
Sr 87.62 Sr.upf
Zr 91.22 Zr.upf
CELL_PARAMETERS angstrom
6.8760 0.0000 0.0000
0.0000 5.3659 0.0000
-0.7103 0.0000 11.0487
ATOMIC_POSITIONS crystal
Sr 0.1774 0.2500 0.1591
Sr 0.2687 0.2500 0.7212
Sr 0.3158 0.7500 0.9480
Sr 0.6842 0.2500 0.0520
Sr 0.7313 0.7500 0.2788
Sr 0.8226 0.7500 0.8409
Zr 0.0088 0.2500 0.4411
Zr 0.2406 0.7500 0.3455
Zr 0.4865 0.2500 0.4329
Zr 0.5135 0.7500 0.5671
Zr 0.7594 0.2500 0.6545
Zr 0.9912 0.7500 0.5589


! SrZr2, relaxed, DFT GGA-PBE; values from VASP
! * total moment: 0.01 μB/atom
! * space-group type: No. 63
! * offset from the most stable computed form: 0.64 eV/f.u.
&SYSTEM
  ibrav = 0, nat = 6, ntyp = 2
/
ATOMIC_SPECIES
Sr 87.62 Sr.upf
Zr 91.22 Zr.upf
CELL_PARAMETERS angstrom
1.6248 -8.8853 0.0000
1.6248 8.8853 0.0000
0.0000 0.0000 5.8322
ATOMIC_POSITIONS crystal
Sr 0.1169 0.8831 0.7500
Sr 0.8831 0.1169 0.2500
Zr 0.2084 0.7916 0.2500
Zr 0.4423 0.5577 0.7500
Zr 0.5577 0.4423 0.2500
Zr 0.7916 0.2084 0.7500


! SrZr, relaxed, DFT GGA-PBE; values from VASP
! * total moment: 0.01 μB/atom
! * space-group type: No. 25
! * offset from the most stable computed form: 0.28 eV/f.u.
&SYSTEM
  ibrav = 0, nat = 8, ntyp = 2
/
ATOMIC_SPECIES
Sr 87.62 Sr.upf
Zr 91.22 Zr.upf
CELL_PARAMETERS angstrom
5.4088 0.0000 0.0000
0.0000 8.2733 0.0000
0.0000 0.0000 6.0320
ATOMIC_POSITIONS crystal
Sr 0.0000 0.0000 0.0000
Sr 0.0000 0.2865 0.5264
Sr 0.0000 0.7135 0.5264
Sr 0.5000 0.0000 0.4359
Zr 0.0000 0.5000 0.0445
Zr 0.5000 0.3237 0.9172
Zr 0.5000 0.5000 0.3425
Zr 0.5000 0.6763 0.9172


! SrZr, relaxed, DFT GGA-PBE; values from VASP
! * total moment: 0.09 μB/atom
! * space-group type: No. 26
! * offset from the most stable computed form: 0.39 eV/f.u.
&SYSTEM
  ibrav = 0, nat = 12, ntyp = 2
/
ATOMIC_SPECIES
Sr 87.62 Sr.upf
Zr 91.22 Zr.upf
CELL_PARAMETERS angstrom
5.4545 0.0000 0.0000
0.0000 12.3935 0.0000
0.0000 0.0000 5.9817
ATOMIC_POSITIONS crystal
Sr 0.0000 0.0762 0.0000
Sr 0.0000 0.3846 0.0970
Sr 0.0000 0.6154 0.5970
Sr 0.0000 0.9238 0.5000
Sr 0.5000 0.3687 0.6377
Sr 0.5000 0.6313 0.1377
Zr 0.0000 0.2022 0.5151
Zr 0.0000 0.7978 0.0151
Zr 0.5000 0.0764 0.6592
Zr 0.5000 0.1856 0.2059
Zr 0.5000 0.8144 0.7059
Zr 0.5000 0.9236 0.1592


! SrZr3, relaxed, DFT GGA-PBE; values from VASP
! * total moment: 0.00 μB/atom
! * space-group type: No. 59
! * energy: -6.439 eV/atom
&SYSTEM
  ibrav = 0, nat = 8, ntyp = 2
/
ATOMIC_SPECIES
Sr 87.62 Sr.upf
Zr 91.22 Zr.upf
CELL_PARAMETERS angstrom
5.2526 0.0000 0.0000
0.0000 6.6100 0.0000
0.0000 0.0000 6.4506
ATOMIC_POSITIONS crystal
Sr 0.2500 0.2500 0.1175
Sr 0.7500 0.7500 0.8825
Zr 0.2500 0.0076 0.6105
Zr 0.2500 0.4924 0.6105
Zr 0.2500 0.7500 0.2243
Zr 0.7500 0.2500 0.7757
Zr 0.7500 0.5076 0.3895
Zr 0.7500 0.9924 0.3895


! SrZr2, relaxed, DFT GGA-PBE; values from VASP
! * total moment: 0.00 μB/atom
! * space-group type: No. 11
! * offset from the most stable computed form: 0.11 eV/f.u.
&SYSTEM
  ibrav = 0, nat = 24, ntyp = 2
/
ATOMIC_SPECIES
Sr 87.62 Sr.upf
Zr 91.22 Zr.upf
CELL_PARAMETERS angstrom
8.8558 0.0000 0.0000
0.0000 5.3104 0.0000
-3.0219 0.0000 15.0251
ATOMIC_POSITIONS crystal
Sr 0.1255 0.2500 0.2392
Sr 0.1872 0.2500 0.7773
Sr 0.2084 0.7500 0.3957
Sr 0.3172 0.7500 0.1402
Sr 0.6828 0.2500 0.8598
Sr 0.7916 0.2500 0.6043
Sr 0.8128 0.7500 0.2227
Sr 0.8745 0.7500 0.7608
Zr 0.0797 0.2500 0.9983
Zr 0.1076 0.2500 0.5091
Zr 0.2001 0.7500 0.6186
Zr 0.2316 0.7500 0.9235
Zr 0.4175 0.2500 0.0073
Zr 0.4236 0.2500 0.6371
Zr 0.4553 0.7500 0.7647
Zr 0.4697 0.2500 0.4347
Zr 0.5303 0.7500 0.5653
Zr 0.5447 0.2500 0.2353
Zr 0.5764 0.7500 0.3629
Zr 0.5825 0.7500 0.9927
Zr 0.7684 0.2500 0.0765
Zr 0.7999 0.2500 0.3814
Zr 0.8924 0.7500 0.4909
Zr 0.9203 0.7500 0.0017